(1)
First-principles (PBE) data for an optimized crystal structure of Ac2Tc2RhN6, as listed in the Alexandria database.

## Properties
* calculated total energy: -8.1032 eV per atom
* energy relative to the elements, uncorrected: -262 meV per atom
* mass density: 8.29 Mg/m³
* D(E_F): 5.0 states/eV per cell
* space-group type: R-3m (166)

a = 6.4181 Å, b = 6.4181 Å, c = 6.4181 Å
α = 55.54°, β = 55.54°, γ = 55.54°
Last column: nearest neighbours and their distance in Å.
Element x y z (fractional)
Ac  0.2128  0.2128  0.2128  3 N 2.68
Ac  0.7872  0.7872  0.7872  3 N 2.68
Tc  0.4278  0.4278  0.4278  3 N 1.86
Tc  0.5722  0.5722  0.5722  3 N 1.86
Rh  0.0000  0.0000  0.0000  6 N 2.08
N  0.2300  0.7637  0.7637  1 Tc 1.86, 1 Rh 2.08
N  0.2363  0.2363  0.7700  1 Tc 1.86, 1 Rh 2.08
N  0.2363  0.7700  0.2363  1 Tc 1.86, 1 Rh 2.08
N  0.7637  0.2300  0.7637  1 Tc 1.86, 1 Rh 2.08
N  0.7637  0.7637  0.2300  1 Tc 1.86, 1 Rh 2.08
N  0.7700  0.2363  0.2363  1 Tc 1.86, 1 Rh 2.08



(2)
First-principles (PBE) data for an optimized crystal structure of RbLa4Cl12, as listed in the Alexandria database.

## Properties
* calculated total energy: -4.7676 eV per atom
* energy relative to the elements, uncorrected: -2248 meV per atom
* mass density: 2.68 Mg/m³
* D(E_F): 15.2 states/eV per cell
* space-group type: Immm (71)

a = 9.5071 Å, b = 9.5071 Å, c = 9.5071 Å
α = 110.62°, β = 109.06°, γ = 108.73°
Last column: nearest neighbours and their distance in Å.
Element x y z (fractional)
Rb  0.0000  0.0000  0.0000  8 Cl 3.44
La  0.0000  0.0000  0.5000  6 Cl 2.82-2.84
La  0.0000  0.5000  0.0000  6 Cl 2.82-2.84
La  0.5000  0.0000  0.0000  6 Cl 2.82-2.84
La  0.5000  0.5000  0.5000  6 Cl 2.82-2.84
Cl  0.0060  0.7020  0.3040  2 La 2.82
Cl  0.2479  0.1921  0.4400  2 La 2.84
Cl  0.2479  0.8079  0.0557  2 La 2.84
Cl  0.2505  0.0630  0.8125  2 La 2.84
Cl  0.2505  0.4380  0.1875  2 La 2.84
Cl  0.3980  0.7020  0.6960  2 La 2.82
Cl  0.6020  0.2980  0.3040  2 La 2.82
Cl  0.7495  0.5620  0.8125  2 La 2.84
Cl  0.7495  0.9370  0.1875  2 La 2.84
Cl  0.7521  0.1921  0.9443  2 La 2.84
Cl  0.7521  0.8079  0.5600  2 La 2.84
Cl  0.9940  0.2980  0.6960  2 La 2.82



(3)
First-principles (PBE) data for an optimized crystal structure of Ca2HgBrO3, as listed in the Alexandria database.

## Properties
* calculated total energy: -4.5540 eV per atom
* energy relative to the elements, uncorrected: -1575 meV per atom
* mass density: 5.13 Mg/m³
* D(E_F): 9.0 states/eV per cell
* space-group type: R-3m (166)

a = 7.5233 Å, b = 7.5233 Å, c = 7.5233 Å
α = 54.82°, β = 54.82°, γ = 54.82°
Last column: nearest neighbours and their distance in Å.
Element x y z (fractional)
Ca  0.0000  0.0000  0.0000  6 O 2.54
Ca  0.0000  0.0000  0.5000  4 O 2.33
Ca  0.0000  0.5000  0.0000  4 O 2.33
Ca  0.5000  0.0000  0.0000  4 O 2.33
Hg  0.4217  0.4217  0.4217  3 O 2.23
Hg  0.5783  0.5783  0.5783  3 O 2.23
Br  0.2728  0.2728  0.2728  1 Hg 2.85, 3 Ca 2.85
Br  0.7272  0.7272  0.7272  1 Hg 2.85, 3 Ca 2.85
O  0.1994  0.7572  0.7572  1 Hg 2.23, 2 Ca 2.33
O  0.2428  0.2428  0.8006  1 Hg 2.23, 2 Ca 2.33
O  0.2428  0.8006  0.2428  1 Hg 2.23, 2 Ca 2.33
O  0.7572  0.1994  0.7572  1 Hg 2.23, 2 Ca 2.33
O  0.7572  0.7572  0.1994  1 Hg 2.23, 2 Ca 2.33
O  0.8006  0.2428  0.2428  1 Hg 2.23, 2 Ca 2.33



(4)
First-principles (PBE) data for an optimized crystal structure of Tm3Al7Ga4, as listed in the Alexandria database.

## Properties
* calculated total energy: -4.0627 eV per atom
* mass density: 6.16 Mg/m³
* formation enthalpy at 0 K: -368 meV per atom
* D(E_F): 4.3 states/eV per cell
* space-group type: C2/m (12)

a = 8.2104 Å, b = 8.2104 Å, c = 9.8514 Å
α = 124.39°, β = 124.39°, γ = 29.16°
Last column: nearest neighbours and their distance in Å.
Element x y z (fractional)
Tm  0.0000  0.0000  0.0000  6 Ga 3.10-3.13, 6 Al 3.42-3.43
Tm  0.3206  0.3206  0.3149  4 Ga 3.03-3.06, 10 Al 3.11-3.34
Tm  0.6794  0.6794  0.6851  4 Ga 3.03-3.06, 10 Al 3.11-3.34
Al  0.0000  0.0000  0.5000  2 Ga 2.69, 6 Al 2.96-3.00
Al  0.1592  0.1592  0.4287  3 Ga 2.65-2.70, 2 Al 2.80
Al  0.3206  0.3206  0.9775  4 Ga 2.53-2.66
Al  0.4869  0.4869  0.7017  3 Ga 2.58-2.67, 3 Al 2.80-2.84
Al  0.5131  0.5131  0.2983  3 Ga 2.58-2.67, 3 Al 2.80-2.84
Al  0.6794  0.6794  0.0225  4 Ga 2.53-2.66
Al  0.8408  0.8408  0.5713  3 Ga 2.65-2.70, 2 Al 2.80
Ga  0.1179  0.1179  0.8364  6 Al 2.55-2.69
Ga  0.3385  0.3385  0.7381  5 Al 2.53-2.70
Ga  0.6615  0.6615  0.2619  5 Al 2.53-2.70
Ga  0.8821  0.8821  0.1636  6 Al 2.55-2.69



(5)
First-principles (PBE) data for an optimized crystal structure of CrFeOsRu2, as listed in the Alexandria database.

## Properties
* calculated total energy: -7.8292 eV per atom
* mass density: 10.17 Mg/m³
* formation enthalpy at 0 K: 1744 meV per atom
* D(E_F): 12.9 states/eV per cell
* space-group type: P4/mmm (123)

a = 4.3173 Å, b = 4.3173 Å, c = 4.3829 Å
α = 90.00°, β = 90.00°, γ = 90.00°
Last column: nearest neighbours and their distance in Å.
Element x y z (fractional)
Cr  0.0000  0.0000  0.0000  4 Os 3.05, 8 Ru 3.08
Fe  0.5000  0.5000  0.5000  4 Ru 2.16, 2 Os 2.19
Os  0.5000  0.5000  0.0000  2 Fe 2.19
Ru  0.0000  0.5000  0.5000  2 Fe 2.16
Ru  0.5000  0.0000  0.5000  2 Fe 2.16



(6)
First-principles (PBE) data for an optimized crystal structure of ScSbP, as listed in the Alexandria database.

## Properties
* calculated total energy: -5.8510 eV per atom
* energy relative to the elements, uncorrected: -563 meV per atom
* mass density: 4.74 Mg/m³
* D(E_F): 3.8 states/eV per cell
* space-group type: P4/nmm (129)

a = 5.0495 Å, b = 5.0495 Å, c = 5.4271 Å
α = 90.00°, β = 90.00°, γ = 90.00°
Last column: nearest neighbours and their distance in Å.
Element x y z (fractional)
Sc  0.2500  0.7500  0.0000  4 P 2.67
Sc  0.7500  0.2500  0.0000  4 P 2.67
Sb  0.2500  0.2500  0.3505  2 P 2.65-2.77
Sb  0.7500  0.7500  0.6495  2 P 2.65-2.77
P  0.2500  0.2500  0.8398  2 Sb 2.65-2.77, 4 Sc 2.67
P  0.7500  0.7500  0.1602  2 Sb 2.65-2.77, 4 Sc 2.67



(7)
First-principles (PBE) data for an optimized crystal structure of KH3Au, as listed in the Alexandria database.

## Properties
* calculated total energy: -2.9804 eV per atom
* mass density: 6.69 Mg/m³
* D(E_F): 0.6 states/eV per cell
* space-group type: Pm-3m (221)

a = 3.8997 Å, b = 3.8997 Å, c = 3.8997 Å
α = 90.00°, β = 90.00°, γ = 90.00°
Last column: nearest neighbours and their distance in Å.
Element x y z (fractional)
K  0.0000  0.0000  0.0000  12 H 2.76
H  0.0000  0.5000  0.5000  2 Au 1.95
H  0.5000  0.0000  0.5000  2 Au 1.95
H  0.5000  0.5000  0.0000  2 Au 1.95
Au  0.5000  0.5000  0.5000  6 H 1.95



(8)
First-principles (PBE) data for an optimized crystal structure of CdAuN2, as listed in the Alexandria database.

## Properties
* calculated total energy: -3.9275 eV per atom
* energy relative to the elements, uncorrected: 1283 meV per atom
* mass density: 8.78 Mg/m³
* D(E_F): 3.4 states/eV per cell
* space-group type: R-3m (166)

a = 6.4668 Å, b = 6.4668 Å, c = 6.4668 Å
α = 31.05°, β = 31.05°, γ = 31.05°
Last column: nearest neighbours and their distance in Å.
Element x y z (fractional)
Cd  0.0000  0.0000  0.0000  6 N 2.30
Au  0.5000  0.5000  0.5000  2 N 1.93
N  0.3955  0.3955  0.3955  1 Au 1.93
N  0.6045  0.6045  0.6045  1 Au 1.93



(9)
First-principles (PBE) data for an optimized crystal structure of Ac3Ga2GePd6, as listed in the Alexandria database.

## Properties
* calculated total energy: -5.2107 eV per atom
* mass density: 9.38 Mg/m³
* formation enthalpy at 0 K: -698 meV per atom
* D(E_F): 6.2 states/eV per cell
* space-group type: P-3m1 (164)

a = 5.9669 Å, b = 5.9669 Å, c = 8.7934 Å
α = 90.00°, β = 90.00°, γ = 120.00°
Last column: nearest neighbours and their distance in Å.
Element x y z (fractional)
Ac  0.0000  0.0000  0.0000  6 Pd 3.11, 6 Ga 3.47
Ac  0.3333  0.6667  0.6343  6 Pd 3.06
Ac  0.6667  0.3333  0.3657  6 Pd 3.06
Ga  0.3333  0.6667  0.0458  3 Pd 2.69
Ga  0.6667  0.3333  0.9542  3 Pd 2.69
Ge  0.0000  0.0000  0.5000  6 Pd 2.60
Pd  0.1744  0.3487  0.2876  1 Ge 2.60, 1 Ga 2.69, 2 Pd 2.85
Pd  0.1744  0.8256  0.2876  1 Ge 2.60, 1 Ga 2.69, 2 Pd 2.85
Pd  0.3487  0.1744  0.7124  1 Ge 2.60, 1 Ga 2.69, 2 Pd 2.85
Pd  0.6513  0.8256  0.2876  1 Ge 2.60, 1 Ga 2.69, 2 Pd 2.85
Pd  0.8256  0.1744  0.7124  1 Ge 2.60, 1 Ga 2.69, 2 Pd 2.85
Pd  0.8256  0.6513  0.7124  1 Ge 2.60, 1 Ga 2.69, 2 Pd 2.85



(10)
First-principles (PBE) data for an optimized crystal structure of PmNdPd2, as listed in the Alexandria database.

## Properties
* calculated total energy: -5.7954 eV per atom
* mass density: 8.53 Mg/m³
* formation enthalpy at 0 K: -819 meV per atom
* D(E_F): 2.6 states/eV per cell
* space-group type: Amm2 (38)

a = 4.6259 Å, b = 5.7657 Å, c = 5.7657 Å
α = 39.45°, β = 90.00°, γ = 90.00°
Last column: nearest neighbours and their distance in Å.
Element x y z (fractional)
Pm  0.0000  0.0000  0.0000  7 Pd 3.02-3.09
Nd  0.5000  0.7265  0.7265  7 Pd 3.01-3.11
Pd  0.0000  0.2783  0.2783  2 Pd 2.97, 3 Pm 3.02-3.09, 4 Nd 3.07
Pd  0.5000  0.4495  0.4495  2 Pd 2.97, 3 Nd 3.01-3.11, 4 Pm 3.07



(11)
First-principles (PBE) data for an optimized crystal structure of CuIr5Rh4, as listed in the Alexandria database.

## Properties
* calculated total energy: -7.4936 eV per atom
* mass density: 15.72 Mg/m³
* formation enthalpy at 0 K: 287 meV per atom
* D(E_F): 12.8 states/eV per cell
* space-group type: C2/m (12)

a = 7.0533 Å, b = 7.0533 Å, c = 6.6318 Å
α = 117.80°, β = 117.80°, γ = 31.72°
Last column: nearest neighbours and their distance in Å.
Element x y z (fractional)
Cu  0.0000  0.0000  0.0000  6 Rh 2.50-2.62
Ir  0.0000  0.0000  0.5000  6 Rh 2.60-2.65, 4 Ir 2.83
Ir  0.3199  0.3199  0.7644  3 Ir 2.59-2.60, 5 Rh 2.62-2.78
Ir  0.3277  0.3277  0.3824  5 Ir 2.59-2.83, 5 Rh 2.63-2.81
Ir  0.6723  0.6723  0.6176  5 Ir 2.59-2.83, 5 Rh 2.63-2.81
Ir  0.6801  0.6801  0.2356  3 Ir 2.59-2.60, 5 Rh 2.62-2.78
Rh  0.1725  0.1725  0.9254  1 Cu 2.62, 7 Ir 2.65-2.81, 4 Rh 2.66-2.68
Rh  0.4840  0.4840  0.2223  2 Cu 2.50, 6 Ir 2.60-2.80, 2 Rh 2.68
Rh  0.5160  0.5160  0.7777  2 Cu 2.50, 6 Ir 2.60-2.80, 2 Rh 2.68
Rh  0.8275  0.8275  0.0746  1 Cu 2.62, 7 Ir 2.65-2.81, 4 Rh 2.66-2.68



(12)
First-principles (PBE) data for an optimized crystal structure of TbPr2MnSe5, as listed in the Alexandria database.

## Properties
* calculated total energy: -6.0925 eV per atom
* energy relative to the elements, uncorrected: -1561 meV per atom
* mass density: 6.56 Mg/m³
* D(E_F): 6.0 states/eV per cell
* space-group type: Cmc2_1 (36)

a = 8.9858 Å, b = 8.9858 Å, c = 12.5713 Å
α = 90.00°, β = 90.00°, γ = 153.61°
Last column: nearest neighbours and their distance in Å.
Element x y z (fractional)
Tb  0.1821  0.8179  0.5000  6 Se 2.86-2.92
Tb  0.8179  0.1821  0.0000  6 Se 2.86-2.92
Pr  0.1187  0.8813  0.8203  8 Se 3.06-3.34
Pr  0.1209  0.8791  0.1693  8 Se 3.07-3.23
Pr  0.8791  0.1209  0.6693  8 Se 3.07-3.23
Pr  0.8813  0.1187  0.3203  8 Se 3.06-3.34
Mn  0.4466  0.5534  0.9013  4 Se 2.43-2.55
Mn  0.5534  0.4466  0.4013  4 Se 2.43-2.55
Se  0.0162  0.9838  0.4979  2 Mn 2.47
Se  0.3026  0.6974  0.1616  2 Tb 2.90, 3 Pr 3.18
Se  0.3092  0.6908  0.8348  1 Mn 2.55
Se  0.3454  0.6546  0.4933  1 Tb 2.86, 4 Pr 3.06-3.07
Se  0.4948  0.5052  0.2265  1 Mn 2.43
Se  0.5052  0.4948  0.7265  1 Mn 2.43
Se  0.6546  0.3454  0.9933  1 Tb 2.86, 4 Pr 3.06-3.07
Se  0.6908  0.3092  0.3348  1 Mn 2.55
Se  0.6974  0.3026  0.6616  2 Tb 2.90, 3 Pr 3.18
Se  0.9838  0.0162  0.9979  2 Mn 2.47



- The lowest calculated total energy belongs to which entry?
  Ac2Tc2RhN6



What did the third record say?
First-principles (PBE) data for an optimized crystal structure of Ca2HgBrO3, as listed in the Alexandria database.

## Properties
* calculated total energy: -4.5540 eV per atom
* energy relative to the elements, uncorrected: -1575 meV per atom
* mass density: 5.13 Mg/m³
* D(E_F): 9.0 states/eV per cell
* space-group type: R-3m (166)

a = 7.5233 Å, b = 7.5233 Å, c = 7.5233 Å
α = 54.82°, β = 54.82°, γ = 54.82°
Last column: nearest neighbours and their distance in Å.
Element x y z (fractional)
Ca  0.0000  0.0000  0.0000  6 O 2.54
Ca  0.0000  0.0000  0.5000  4 O 2.33
Ca  0.0000  0.5000  0.0000  4 O 2.33
Ca  0.5000  0.0000  0.0000  4 O 2.33
Hg  0.4217  0.4217  0.4217  3 O 2.23
Hg  0.5783  0.5783  0.5783  3 O 2.23
Br  0.2728  0.2728  0.2728  1 Hg 2.85, 3 Ca 2.85
Br  0.7272  0.7272  0.7272  1 Hg 2.85, 3 Ca 2.85
O  0.1994  0.7572  0.7572  1 Hg 2.23, 2 Ca 2.33
O  0.2428  0.2428  0.8006  1 Hg 2.23, 2 Ca 2.33
O  0.2428  0.8006  0.2428  1 Hg 2.23, 2 Ca 2.33
O  0.7572  0.1994  0.7572  1 Hg 2.23, 2 Ca 2.33
O  0.7572  0.7572  0.1994  1 Hg 2.23, 2 Ca 2.33
O  0.8006  0.2428  0.2428  1 Hg 2.23, 2 Ca 2.33